[1]
A plane-wave DFT calculation with GGA-PBE was carried out for a relaxed TiNb2CuH crystal.

abc: 4.2358 4.2358 3.7543
angles: 90.00 90.00 90.00
Last column: nearest neighbours and their distance in Å.
Fractional coordinates of all 5 atoms:
Nb  0.5000  0.0000  0.0000  2 H 2.12
Nb  0.0000  0.5000  0.0000  2 H 2.12
H  0.0000  0.0000  0.0000  2 Cu 1.88
Ti  0.5000  0.5000  0.5000  8 Nb 2.83, 4 Cu 3.00
Cu  0.0000  0.0000  0.5000  2 H 1.88

Its polymorph energy (0 for the lowest one) is 40 meV/atom. Its space group is P4/mmm (123). The calculation puts the total energy at -7.0967 eV per atom.

=====

[2]
A plane-wave DFT calculation with GGA-PBE was carried out for a relaxed TiNb2CuH crystal.

abc: 4.0816 4.0816 4.0922
angles: 90.00 90.00 90.00
Last column: nearest neighbours and their distance in Å.
Fractional coordinates of all 5 atoms:
Cu  0.5000  0.5000  0.5000  4 Ti 2.89, 8 Nb 2.89
Ti  0.0000  0.0000  0.5000  2 H 2.05
Nb  0.5000  0.0000  0.0000  2 H 2.04
Nb  0.0000  0.5000  0.0000  2 H 2.04
H  0.0000  0.0000  0.0000  4 Nb 2.04, 2 Ti 2.05

Its polymorph energy (0 for the lowest one) is 0 meV/atom. Its space group is P4/mmm (123). The calculation puts the total energy at -7.1367 eV per atom.

=====

[3]
A plane-wave DFT calculation with GGA-PBE was carried out for a relaxed NbTlCu2H crystal.

abc: 4.8580 5.6977 4.8580
angles: 90.00 90.00 90.00
Last column: nearest neighbours and their distance in Å.
Fractional coordinates of all 5 atoms:
Nb  0.0000  0.0000  0.0000  4 Cu 2.43
Cu  0.5000  0.0000  0.0000  2 Nb 2.43
Cu  0.0000  0.0000  0.5000  2 Nb 2.43
Tl  0.0000  0.5000  0.0000  2 Nb 2.85
H  0.5000  0.5000  0.5000  4 Tl 3.44, 8 Cu 3.74

Its space group is P4/mmm (123). The calculation puts the total energy at -3.1896 eV per atom.

=====

[4]
A plane-wave DFT calculation with GGA-PBE was carried out for a relaxed NbV2CuH crystal.

abc: 3.7957 3.7957 4.1562
angles: 90.00 90.00 90.00
Last column: nearest neighbours and their distance in Å.
Fractional coordinates of all 5 atoms:
Nb  0.0000  0.0000  0.5000  2 H 2.08
V  0.0000  0.5000  0.0000  2 H 1.90
V  0.5000  0.0000  0.0000  2 H 1.90
H  0.0000  0.0000  0.0000  4 V 1.90, 2 Nb 2.08
Cu  0.5000  0.5000  0.5000  4 Nb 2.68, 8 V 2.81

Its polymorph energy (0 for the lowest one) is 0 meV/atom. Its space group is P4/mmm (123). The calculation puts the total energy at -7.1056 eV per atom.

=====

[5]
A plane-wave DFT calculation with GGA-PBE was carried out for a relaxed NbV2CuH crystal.

abc: 4.1227 4.1227 3.4777
angles: 90.00 90.00 90.00
Last column: nearest neighbours and their distance in Å.
Fractional coordinates of all 5 atoms:
V  0.0000  0.5000  0.0000  2 H 2.06
V  0.5000  0.0000  0.0000  2 H 2.06
Nb  0.5000  0.5000  0.5000  8 V 2.70, 4 Cu 2.92
H  0.0000  0.0000  0.0000  2 Cu 1.74
Cu  0.0000  0.0000  0.5000  2 H 1.74

Its polymorph energy (0 for the lowest one) is 25 meV/atom. Its space group is P4/mmm (123). The calculation puts the total energy at -7.0804 eV per atom.

=====

[6]
A plane-wave DFT calculation with GGA-PBE was carried out for a relaxed Nb2CuHW crystal.

abc: 4.1971 4.1971 3.8480
angles: 90.00 90.00 90.00
Last column: nearest neighbours and their distance in Å.
Fractional coordinates of all 5 atoms:
Nb  0.0000  0.5000  0.0000  2 H 2.10
Nb  0.5000  0.0000  0.0000  2 H 2.10
W  0.0000  0.0000  0.5000  2 H 1.92
Cu  0.5000  0.5000  0.5000  8 Nb 2.85, 4 W 2.97
H  0.0000  0.0000  0.0000  2 W 1.92, 4 Nb 2.10

Its polymorph energy (0 for the lowest one) is 66 meV/atom. Its space group is P4/mmm (123). The calculation puts the total energy at -7.9958 eV per atom.

=====

[7]
A plane-wave DFT calculation with GGA-PBE was carried out for a relaxed Nb2CuHW crystal.

abc: 4.3747 4.3747 3.4706
angles: 90.00 90.00 90.00
Last column: nearest neighbours and their distance in Å.
Fractional coordinates of all 5 atoms:
H  0.0000  0.0000  0.0000  2 Cu 1.74
Nb  0.5000  0.0000  0.0000  2 H 2.19
Nb  0.0000  0.5000  0.0000  2 H 2.19
Cu  0.0000  0.0000  0.5000  2 H 1.74
W  0.5000  0.5000  0.5000  8 Nb 2.79, 4 Cu 3.09

Its polymorph energy (0 for the lowest one) is 0 meV/atom. Its space group is P4/mmm (123). The calculation puts the total energy at -8.0623 eV per atom.

=====

[8]
A plane-wave DFT calculation with GGA-PBE was carried out for a relaxed ZrNb2CuH crystal.

abc: 4.0422 4.0422 4.5603
angles: 90.00 90.00 90.00
Last column: nearest neighbours and their distance in Å.
Fractional coordinates of all 5 atoms:
Cu  0.5000  0.5000  0.5000  4 Zr 2.86, 8 Nb 3.05
H  0.0000  0.0000  0.0000  4 Nb 2.02
Nb  0.0000  0.5000  0.0000  2 H 2.02
Nb  0.5000  0.0000  0.0000  2 H 2.02
Zr  0.0000  0.0000  0.5000  2 H 2.28

Its space group is P4/mmm (123). The calculation puts the total energy at -7.2514 eV per atom.

=====

[9]
A plane-wave DFT calculation with GGA-PBE was carried out for a relaxed ZrNbCuH2 crystal.

abc: 3.7394 5.1955 3.7394
angles: 90.00 90.00 90.00
Last column: nearest neighbours and their distance in Å.
Fractional coordinates of all 5 atoms:
Nb  0.0000  0.5000  0.0000  2 Cu 2.60, 4 Zr 2.64
Zr  0.5000  0.5000  0.5000  4 Nb 2.64
Cu  0.0000  0.0000  0.0000  4 H 1.87
H  0.0000  0.0000  0.5000  2 Cu 1.87
H  0.5000  0.0000  0.0000  2 Cu 1.87

Its space group is P4/mmm (123). The calculation puts the total energy at -4.9364 eV per atom.

=====

| no. | total magnetization (μB/cell) |
| --- | --- |
| 1 | 0.0 |
| 2 | 0.0 |
| 3 | 1.2 |
| 4 | 0.0 |
| 5 | 0.0 |
| 6 | 0.0 |
| 7 | 0.0 |
| 8 | 0.0 |
| 9 | 0.0 |